The following is a DFT calculation (PBE with a Hubbard U) of a geometry-optimized CsNdFeO3 structure.

Unit cell a=8.1582 b=3.7852 c=9.4156 alpha=90.00 beta=110.32 gamma=90.00
Space group P2_1/m (No. 11)
Unique sites:
Cs1 0.2010 0.2500 0.1911
Nd1 0.3368 0.7500 0.8576
Fe1 0.0499 0.2500 0.6244
O1 0.1231 0.7500 0.5938
O2 0.1395 0.2500 0.8482
O3 0.4690 0.7500 0.1202

Properties
For the magnetization, the calculation gives 8.068 μB per cell. Its energy is -6.4676 eV/atom.